Record 1
Tb4PrSm | GGA-PBE | optimized geometry

Cell: 6.6474 6.6474 6.6474 Å, 60.00 60.00 60.00°
Site moments in Bohr magnetons follow the coordinates.
Fractional coordinates of all 6 atoms:
Pr 0.0000 0.0000 0.0000  0.19
Tb 0.6248 0.1257 0.6248  0.05
Tb 0.1257 0.6248 0.6248  0.05
Tb 0.6248 0.6248 0.6248  0.05
Tb 0.6248 0.6248 0.1257  0.05
Sm 0.2500 0.2500 0.2500  0.17

Symmetry: F-43m (216)
VASP energy: -26.363 eV/cell

=====

Record 2
Sc3Si4Ir2 | GGA-PBE | optimized geometry

Cell: 4.0690 5.4974 7.6887 Å, 108.69 90.00 111.72°
Fractional coordinates of all 9 atoms:
Sc 0.0000 0.0000 0.0000
Sc 0.3783 0.7565 0.3030
Sc 0.6217 0.2435 0.6970
Si 0.9179 0.8357 0.5947
Si 0.7229 0.4458 0.0718
Si 0.0821 0.1643 0.4053
Si 0.2771 0.5542 0.9282
Ir 0.3181 0.6361 0.6435
Ir 0.6819 0.3639 0.3565

Symmetry: C2/m (12)
Formation energy from raw total energies: -0.925 eV per atom
VASP energy: -66.735 eV/cell

=====

Record 3
Ca3Au2N | GGA-PBE | optimized geometry

Cell: 5.2185 5.2185 5.2185 Å, 82.23 82.23 82.23°
Fractional coordinates of all 6 atoms:
N 0.0000 0.0000 0.0000
Au 0.3723 0.3723 0.3723
Au 0.6277 0.6277 0.6277
Ca 0.0000 0.5000 0.0000
Ca 0.5000 0.0000 0.0000
Ca 0.0000 0.0000 0.5000

Symmetry: R-3m (166)
Formation energy from raw total energies: -0.580 eV per atom
VASP energy: -24.362 eV/cell

=====

Record 4
Mn2SnTe2 | GGA-PBE | optimized geometry

Cell: 7.6509 7.6509 3.2035 Å, 90.00 90.00 90.00°
Fractional coordinates of all 10 atoms:
Mn 0.3664 0.8664 0.0000
Mn 0.8664 0.6336 0.0000
Mn 0.1336 0.3664 0.0000
Mn 0.6336 0.1336 0.0000
Te 0.8517 0.3517 0.5000
Te 0.1483 0.6483 0.5000
Te 0.6483 0.8517 0.5000
Te 0.3517 0.1483 0.5000
Sn 0.5000 0.5000 0.0000
Sn 0.0000 0.0000 0.0000

Symmetry: P4/mbm (127)
Formation energy from raw total energies: 0.491 eV per atom
VASP energy: -52.342 eV/cell

=====

Record 5
Y6C2SCl3 | GGA-PBE | optimized geometry

Cell: 6.5306 6.5306 7.1104 Å, 98.80 98.80 120.02°
Fractional coordinates of all 12 atoms:
Y 0.7080 0.7080 0.1908
Y 0.4192 0.0635 0.1906
Y 0.0635 0.4192 0.1906
Y 0.5808 0.9365 0.8094
Y 0.2920 0.2920 0.8092
Y 0.9365 0.5808 0.8094
Cl 0.8336 0.1664 0.5000
Cl 0.5000 0.5000 0.5000
Cl 0.1664 0.8336 0.5000
S 0.0000 0.0000 0.0000
C 0.3335 0.6665 0.0000
C 0.6665 0.3335 0.0000

Symmetry: C2/m (12)
Formation energy from raw total energies: -1.286 eV per atom
VASP energy: -82.327 eV/cell

=====

Record 6
Zr2CuPb | GGA-PBE | optimized geometry

Cell: 5.6259 5.6259 5.6259 Å, 136.33 136.33 63.47°
Fractional coordinates of all 4 atoms:
Zr 0.2500 0.7500 0.5000
Zr 0.0000 0.0000 0.0000
Pb 0.7500 0.2500 0.5000
Cu 0.5000 0.5000 0.0000

Symmetry: I-4m2 (119)
VASP energy: -25.010 eV/cell

=====

Record 7
AcCuPt | GGA-PBE | optimized geometry

Cell: 5.3669 5.9600 5.9600 Å, 92.83 65.49 65.49°
Fractional coordinates of all 6 atoms:
Ac 0.7500 0.2501 0.2500
Ac 0.7500 0.7500 0.7499
Pt 0.7500 0.2501 0.7499
Pt 0.2500 0.2499 0.7501
Cu 0.1920 0.6056 0.1057
Cu 0.3080 0.8943 0.3944

Symmetry: C2/m (12)
VASP energy: -31.786 eV/cell

=====

Record 8
FeCu2Si | GGA-PBE | optimized geometry

Cell: 4.9629 4.9629 4.9629 Å, 148.70 132.59 57.92°
Site moments in Bohr magnetons follow the coordinates.
Fractional coordinates of all 4 atoms:
Cu 0.0144 0.0144 0.0000  -0.01
Cu 0.4856 0.4856 0.0000  -0.01
Si 0.2500 0.7500 0.5000  -0.04
Fe 0.7500 0.2500 0.5000  1.05

Symmetry: Immm (71)
Formation energy from raw total energies: -0.050 eV per atom
VASP energy: -22.277 eV/cell

=====

Record 9
GeSN2O | GGA-PBE | optimized geometry

Cell: 3.5155 3.5155 6.1706 Å, 90.00 90.00 90.00°
Site moments in Bohr magnetons follow the coordinates.
Fractional coordinates of all 5 atoms:
N 0.0000 0.5000 0.0000  0.16
N 0.5000 0.0000 0.0000  0.16
O 0.5000 0.5000 0.5000  0.18
S 0.0000 0.0000 0.5000  0.15
Ge 0.0000 0.0000 0.0000  0.00

Symmetry: P4/mmm (123)
Formation energy from raw total energies: 1.687 eV per atom
VASP energy: -21.918 eV/cell

=====

Record 10
LiAcTe | GGA-PBE | optimized geometry

Cell: 4.6537 4.5867 4.5867 Å, 120.00 90.00 90.00°
Fractional coordinates of all 3 atoms:
Te 0.1669 0.3333 0.6667
Ac 0.6667 0.6667 0.3333
Li 0.1664 0.0000 0.0000

Symmetry: P-6m2 (187)
Formation energy from raw total energies: -0.984 eV per atom
VASP energy: -12.116 eV/cell

=====

Record 11
Si2As2Br | GGA-PBE | optimized geometry

Cell: 4.6577 4.6577 5.6253 Å, 65.54 65.54 90.00°
Fractional coordinates of all 5 atoms:
Si 0.6335 0.6335 0.7331
Si 0.3665 0.3665 0.2669
As 0.7500 0.2500 0.5000
As 0.2500 0.7500 0.5000
Br 0.0000 0.0000 0.0000

Symmetry: I4/mmm (139)
Formation energy from raw total energies: 0.094 eV per atom
VASP energy: -21.346 eV/cell

=====

Record 12
CrAu3 | GGA-PBE | optimized geometry

Cell: 4.1387 4.1387 8.6426 Å, 103.85 103.85 90.00°
Site moments in Bohr magnetons follow the coordinates.
Fractional coordinates of all 8 atoms:
Cr 0.3736 0.3736 0.7472  3.66
Cr 0.6264 0.6264 0.2528  3.66
Au 0.8757 0.8757 0.7515  0.06
Au 0.7500 0.2500 0.5000  0.05
Au 0.5000 0.0000 0.0000  0.09
Au 0.1243 0.1243 0.2485  0.06
Au 0.0000 0.5000 0.0000  0.09
Au 0.2500 0.7500 0.5000  0.05

Symmetry: I4/mmm (139)
VASP energy: -38.586 eV/cell

=====

Record 13
Cs4K5Rb4 | GGA-PBE | optimized geometry

Cell: 7.1032 13.3337 13.3337 Å, 85.93 74.55 74.55°
Fractional coordinates of all 13 atoms:
Rb 0.3871 0.6912 0.5347
Rb 0.9218 0.4653 0.6912
Rb 0.6129 0.3088 0.4653
Rb 0.0782 0.5347 0.3088
K 0.5359 0.7803 0.1479
K 0.4641 0.2197 0.8521
K 0.6838 0.8521 0.7803
K 0.0000 0.0000 0.0000
K 0.3162 0.1479 0.2197
Cs 0.8517 0.9225 0.3740
Cs 0.2257 0.6260 0.9225
Cs 0.1483 0.0775 0.6260
Cs 0.7743 0.3740 0.0775

Symmetry: I4/m (87)
VASP energy: -12.647 eV/cell

=====

Record 14
Cs2RbBaBr5 | GGA-PBE | optimized geometry

Cell: 6.1486 8.5160 10.3605 Å, 114.27 107.26 90.00°
Fractional coordinates of all 9 atoms:
Br 0.3689 0.6129 0.7378
Br 0.3689 0.1249 0.7378
Br 0.0000 0.0000 0.0000
Br 0.6311 0.3871 0.2622
Br 0.6311 0.8751 0.2622
Cs 0.7937 0.7937 0.5875
Cs 0.2063 0.2063 0.4125
Ba 0.5000 0.0000 0.0000
Rb 0.0000 0.5000 0.0000

Symmetry: Immm (71)
Formation energy from raw total energies: -1.834 eV per atom
VASP energy: -29.470 eV/cell

=====

Record 15
LiTmPaIr | GGA-PBE | optimized geometry

Cell: 4.8909 4.8909 4.8909 Å, 60.00 60.00 60.00°
Site moments in Bohr magnetons follow the coordinates.
Fractional coordinates of all 4 atoms:
Pa 0.7500 0.7500 0.7500  0.25
Li 0.0000 0.0000 0.0000  0.01
Tm 0.2500 0.2500 0.2500  0.03
Ir 0.5000 0.5000 0.5000  -0.01

Symmetry: F-43m (216)
VASP energy: -25.978 eV/cell

=====

Record 16
Y2InNi2 | GGA-PBE | optimized geometry

Cell: 8.0900 8.0900 3.3418 Å, 90.00 90.00 90.00°
Fractional coordinates of all 10 atoms:
Y 0.1562 0.3438 0.0000
Y 0.3438 0.8438 0.0000
Y 0.6562 0.1562 0.0000
Y 0.8438 0.6562 0.0000
Ni 0.3773 0.1227 0.5000
Ni 0.8773 0.3773 0.5000
Ni 0.1227 0.6227 0.5000
Ni 0.6227 0.8773 0.5000
In 0.0000 0.0000 0.0000
In 0.5000 0.5000 0.0000

Symmetry: P4/mbm (127)
VASP energy: -55.757 eV/cell

=====

Record 17
CsCa2Zn2 | GGA-PBE | optimized geometry

Cell: 9.3507 9.3507 3.6805 Å, 90.00 90.00 90.00°
Fractional coordinates of all 10 atoms:
Ca 0.3683 0.8683 0.0000
Ca 0.8683 0.6317 0.0000
Ca 0.6317 0.1317 0.0000
Ca 0.1317 0.3683 0.0000
Cs 0.5000 0.5000 0.0000
Cs 0.0000 0.0000 0.0000
Zn 0.3439 0.1561 0.5000
Zn 0.6561 0.8439 0.5000
Zn 0.1561 0.6561 0.5000
Zn 0.8439 0.3439 0.5000

Symmetry: P4/mbm (127)
VASP energy: -14.238 eV/cell

=====

Record 18
Tl3NiAg2Cl8 | GGA-PBE | optimized geometry

Cell: 7.0139 7.0139 9.3906 Å, 90.00 90.00 120.00°
Site moments in Bohr magnetons follow the coordinates.
Fractional coordinates of all 14 atoms:
Cl 0.8456 0.6913 0.6504  0.02
Cl 0.6667 0.3333 0.0563  0.01
Cl 0.3333 0.6667 0.9437  0.01
Cl 0.8456 0.1544 0.6504  0.02
Cl 0.1544 0.8456 0.3496  0.02
Cl 0.1544 0.3087 0.3496  0.02
Cl 0.6913 0.8456 0.3496  0.02
Cl 0.3087 0.1544 0.6504  0.02
Ni 0.0000 0.0000 0.5000  0.80
Ag 0.3333 0.6667 0.1999  0.00
Ag 0.6667 0.3333 0.8001  0.00
Tl 0.6667 0.3333 0.3775  0.00
Tl 0.3333 0.6667 0.6225  0.00
Tl 0.0000 0.0000 0.0000  0.00

Symmetry: P-3m1 (164)
Formation energy from raw total energies: -0.661 eV per atom
VASP energy: -42.603 eV/cell

=====

Record 19
PrThCCl | GGA-PBE | optimized geometry

Cell: 3.7636 3.7637 7.6667 Å, 90.00 104.21 120.00°
Fractional coordinates of all 4 atoms:
Pr 0.5055 0.1507 0.6715
C 0.3112 0.5536 0.8801
Th 0.0925 0.9442 0.0518
Cl 0.9687 0.3824 0.3663

Symmetry: R3m (160)
Formation energy from raw total energies: -0.973 eV per atom
VASP energy: -27.160 eV/cell

=====

Record 20
Pa2CdHg | GGA-PBE | optimized geometry

Cell: 3.1519 3.1519 11.3995 Å, 90.46 97.51 119.87°
Fractional coordinates of all 4 atoms:
Cd 0.1158 0.3657 0.4814
Pa 0.0989 0.8675 0.9664
Pa 0.6139 0.6127 0.2266
Hg 0.6029 0.1120 0.7149

Symmetry: Cm (8)
VASP energy: -19.976 eV/cell

=====

Record 21
Ba2CaCr | GGA-PBE | optimized geometry

Cell: 6.0901 6.0901 6.0901 Å, 120.10 120.10 89.82°
Site moments in Bohr magnetons follow the coordinates.
Fractional coordinates of all 4 atoms:
Ba 0.0000 0.0000 0.0000  0.03
Ba 0.2500 0.7500 0.5000  -0.03
Cr 0.7500 0.2500 0.5000  4.01
Ca 0.5000 0.5000 0.0000  0.00

Symmetry: I-4m2 (119)
VASP energy: -13.534 eV/cell

=====

Record 22
Tm2ZrO | GGA-PBE | optimized geometry

Cell: 3.3675 3.3675 8.4286 Å, 78.48 78.48 60.00°
Fractional coordinates of all 4 atoms:
Zr 0.5000 0.5000 0.5000
Tm 0.7246 0.7246 0.8262
Tm 0.2754 0.2754 0.1738
O 0.0000 0.0000 0.0000

Symmetry: R-3m (166)
Formation energy from raw total energies: -1.378 eV per atom
VASP energy: -27.960 eV/cell

=====

Record 23
Na2BeAs | GGA-PBE | optimized geometry

Cell: 4.1542 10.1483 5.6591 Å, 117.27 111.53 90.00°
Fractional coordinates of all 8 atoms:
As 0.1583 0.2500 0.0000
As 0.8417 0.7500 0.0000
Na 0.1370 0.0905 0.3540
Na 0.8630 0.9095 0.6460
Na 0.7831 0.4095 0.6460
Na 0.2169 0.5905 0.3540
Be 0.6591 0.2500 0.0000
Be 0.3409 0.7500 0.0000

Symmetry: C2/c (15)
VASP energy: -22.146 eV/cell

=====

Record 24
Li2ThSc3Se6 | GGA-PBE | optimized geometry

Cell: 6.7799 6.7799 6.9412 Å, 99.51 99.51 119.89°
Fractional coordinates of all 12 atoms:
Se 0.5676 0.9140 0.7412
Se 0.4324 0.0860 0.2588
Se 0.7390 0.7390 0.2575
Se 0.2610 0.2610 0.7425
Se 0.0860 0.4324 0.2588
Se 0.9140 0.5676 0.7412
Sc 0.1640 0.8360 0.5000
Sc 0.5000 0.5000 0.5000
Sc 0.8360 0.1640 0.5000
Li 0.3314 0.6686 0.0000
Li 0.6686 0.3314 0.0000
Th 0.0000 0.0000 0.0000

Symmetry: C2/m (12)
Formation energy from raw total energies: -1.578 eV per atom
VASP energy: -70.090 eV/cell

=====

Record 25
TbCe3Nd4S8 | GGA-PBE | optimized geometry

Cell: 8.0749 8.0651 8.0736 Å, 120.02 120.01 90.00°
Site moments in Bohr magnetons follow the coordinates.
Fractional coordinates of all 16 atoms:
Nd 0.0000 0.0000 0.0000  0.00
Nd 0.5000 0.0000 0.0000  0.01
Nd 0.5000 0.0000 0.5000  0.00
Nd 0.0000 0.0000 0.5000  0.00
S 0.7518 0.7430 0.9974  -0.01
S 0.2511 0.2533 0.5022  -0.01
S 0.2456 0.7430 0.9974  -0.01
S 0.2482 0.2570 0.0026  -0.01
S 0.7489 0.7467 0.4978  -0.01
S 0.7544 0.2570 0.5087  -0.01
S 0.7544 0.2570 0.0026  -0.01
S 0.2456 0.7430 0.4913  -0.01
Tb 0.0000 0.5000 0.0000  0.02
Ce 0.5000 0.5000 0.5000  0.57
Ce 0.5000 0.5000 0.0000  0.57
Ce 0.0000 0.5000 0.5000  0.57

Symmetry: R-3m (166)
Formation energy from raw total energies: -2.035 eV per atom
VASP energy: -107.084 eV/cell